# 1
Rb2Sn5Au3 | PBE | relaxed

Formation energy: -0.27 eV per atom
DOS at the Fermi energy: 4.79 states/eV/f.u.

Cell: 9.7473 9.7473 7.0133 Å, 110.90 110.90 73.92°
Closest atoms and distances in Å follow each position.
Element x y z (fractional)
Rb 0.1197 0.6216 0.8706  10 Sn 3.62-3.86, 6 Au 3.73-3.88
Rb 0.3784 0.8803 0.6294  10 Sn 3.62-3.86, 6 Au 3.73-3.88
Rb 0.6216 0.1197 0.3706  10 Sn 3.62-3.86, 6 Au 3.73-3.88
Rb 0.8803 0.3784 0.1294  10 Sn 3.62-3.86, 6 Au 3.73-3.88
Sn 0.9997 0.0003 0.2500  4 Au 2.87
Sn 0.0003 0.9997 0.7500  4 Au 2.87
Sn 0.2489 0.2500 0.9993  2 Au 2.87, 2 Sn 3.06
Sn 0.2500 0.2489 0.4993  2 Au 2.87, 2 Sn 3.06
Sn 0.2511 0.5243 0.3875  3 Au 2.80-2.85, 2 Sn 3.06
Sn 0.4757 0.7489 0.1125  3 Au 2.80-2.85, 2 Sn 3.06
Sn 0.5243 0.2511 0.8875  3 Au 2.80-2.85, 2 Sn 3.06
Sn 0.7489 0.4757 0.6125  3 Au 2.80-2.85, 2 Sn 3.06
Sn 0.7500 0.7511 0.5007  2 Au 2.87, 2 Sn 3.06
Sn 0.7511 0.7500 0.0007  2 Au 2.87, 2 Sn 3.06
Au 0.0000 0.2496 0.6245  5 Sn 2.80-2.87
Au 0.0000 0.7504 0.3755  5 Sn 2.80-2.87
Au 0.2496 0.0000 0.1245  5 Sn 2.80-2.87
Au 0.5002 0.4998 0.2500  4 Sn 2.84-2.85
Au 0.4998 0.5002 0.7500  4 Sn 2.84-2.85
Au 0.7504 0.0000 0.8755  5 Sn 2.80-2.87



# 2
Mg2ScSn3 | PBE | relaxed

Formation energy: -0.30 eV per atom
DOS at the Fermi energy: 2.31 states/eV/f.u.

Cell: 7.5523 7.5523 4.2501 Å, 90.00 90.00 144.84°
Closest atoms and distances in Å follow each position.
Element x y z (fractional)
Mg 0.1660 0.8340 0.0000  8 Sn 3.12-3.23, 2 Sc 3.30, 2 Mg 3.33
Mg 0.8340 0.1660 0.0000  8 Sn 3.12-3.23, 2 Sc 3.30, 2 Mg 3.33
Sc 0.5000 0.5000 0.0000  8 Sn 3.12-3.19, 4 Mg 3.30
Sn 0.0000 0.0000 0.5000  4 Sc 3.12, 4 Mg 3.20, 4 Sn 3.30
Sn 0.3345 0.6655 0.5000  6 Mg 3.12-3.23, 2 Sc 3.19, 4 Sn 3.30-3.34
Sn 0.6655 0.3345 0.5000  6 Mg 3.12-3.23, 2 Sc 3.19, 4 Sn 3.30-3.34



# 3
BTeHW2 | PBE | relaxed

DOS at the Fermi energy: 2.84 states/eV/f.u.
DFT total energy: -6.869 eV per atom

Cell: 4.4274 4.4274 3.1827 Å, 90.00 90.00 90.00°
Closest atoms and distances in Å follow each position.
Element x y z (fractional)
B 0.0000 0.0000 0.0000  2 H 1.59
Te 0.5000 0.5000 0.0000  8 W 2.73
H 0.0000 0.0000 0.5000  2 B 1.59
W 0.0000 0.5000 0.5000  2 H 2.21
W 0.5000 0.0000 0.5000  2 H 2.21



Look up the DOS at the Fermi energy of the third one.
2.84 states/eV/f.u.